(1)
Entry from Alexandria via LeMat-Bulk: crystalline Hg2BiTeMo at its relaxed geometry (GGA-PBE).

For the magnetic moment, the calculation gives 4.4 μB/f.u. The total energy comes out at -2.4809 eV per atom.

It has space group P4/mmm (No. 123), with a = 5.4754 Å, b = 5.4754 Å, c = 6.2696 Å, α = 90.00°, β = 90.00° and γ = 90.00°. The inequivalent atoms are Hg at (0.0000, 0.5000, 0.0000), Bi at (0.0000, 0.0000, 0.5000), Te at (0.0000, 0.0000, 0.0000) and Mo at (0.5000, 0.5000, 0.5000).



(2)
Entry from Alexandria via LeMat-Bulk: crystalline La4Tb9Sm11 at its relaxed geometry (GGA-PBE).

For the magnetic moment, the calculation gives 0.0 μB/f.u. The total energy comes out at -4.6480 eV per atom.

It has space group Cmmm (No. 65), with a = 17.0459 Å, b = 25.5448 Å, c = 3.7394 Å, α = 90.00°, β = 90.00° and γ = 90.00°. The inequivalent atoms are La at (0.1544, 0.1003, 0.0000), Tb at (0.0000, 0.0000, 0.0000), Tb at (0.1009, 0.2371, 0.0000), Tb at (0.1378, 0.4272, 0.0000), Sm at (0.0000, 0.1359, 0.5000), Sm at (0.0000, 0.3414, 0.5000), Sm at (0.0000, 0.5000, 0.5000), Sm at (0.2129, 0.0000, 0.5000) and Sm at (0.2258, 0.3189, 0.5000).